Entry 1:
# Ac3ZnHg3 (PBE-GGA, optimized geometry)
# V, Å³/cell: 878.3
# ΔH_f (0 K), eV per atom: -0.395
# M_tot, Bohr magnetons per cell: 0.0
data_Ac3ZnHg3
_symmetry_space_group_name_H-M 'C 1 2/m 1'
_symmetry_Int_Tables_number 12
_symmetry_space_group_name_Hall '-C 2y'
_cell_length_a 12.4796
_cell_length_b 4.3078
_cell_length_c 17.0942
_cell_angle_alpha 90.00
_cell_angle_beta 107.12
_cell_angle_gamma 90.00
loop_
_atom_site_label
_atom_site_type_symbol
_atom_site_fract_x
_atom_site_fract_y
_atom_site_fract_z
_atom_site_occupancy
Ac1 Ac 0.0115 0.0000 0.3861 1
Ac2 Ac 0.1109 0.0000 0.9214 1
Ac3 Ac 0.2360 0.0000 0.2354 1
Zn1 Zn 0.2200 0.5000 0.3840 1
Hg1 Hg 0.0140 0.5000 0.2342 1
Hg2 Hg 0.1140 0.5000 0.0778 1
Hg3 Hg 0.1588 0.5000 0.5383 1

Entry 2:
# Tm4Pu3Te8 (PBE-GGA, optimized geometry)
# V, Å³/cell: 933.5
# Formation energy from raw total energies, eV per atom: -1.218
# M_tot, Bohr magnetons per cell: 35.5
data_Tm4Pu3Te8
_symmetry_space_group_name_H-M 'C 1 2/m 1'
_symmetry_Int_Tables_number 12
_symmetry_space_group_name_Hall '-C 2y'
_cell_length_a 12.2857
_cell_length_b 12.3149
_cell_length_c 8.6885
_cell_angle_alpha 90.00
_cell_angle_beta 134.75
_cell_angle_gamma 90.00
loop_
_atom_site_label
_atom_site_type_symbol
_atom_site_fract_x
_atom_site_fract_y
_atom_site_fract_z
_atom_site_occupancy
Tm1 Tm 0.0000 0.0000 0.0000 1
Tm2 Tm 0.0000 0.0000 0.5000 1
Tm3 Tm 0.2500 0.2500 0.0000 1
Pu1 Pu 0.0000 0.5000 0.5000 1
Pu2 Pu 0.2500 0.2500 0.5000 1
Te1 Te 0.0000 0.2473 0.5000 1
Te2 Te 0.0000 0.2517 0.0000 1
Te3 Te 0.2473 0.0000 0.5012 1
Te4 Te 0.2485 0.0000 0.9919 1

Entry 3:
# SnIBr (PBE-GGA, optimized geometry)
# V, Å³/cell: 254.9
# Formation energy from raw total energies, eV per atom: -0.633
# M_tot, Bohr magnetons per cell: 0.0
data_SnIBr
_symmetry_space_group_name_H-M 'P 1 21/m 1'
_symmetry_Int_Tables_number 11
_symmetry_space_group_name_Hall '-P 2yb'
_cell_length_a 7.3006
_cell_length_b 4.4779
_cell_length_c 7.8003
_cell_angle_alpha 90.00
_cell_angle_beta 91.83
_cell_angle_gamma 90.00
loop_
_atom_site_label
_atom_site_type_symbol
_atom_site_fract_x
_atom_site_fract_y
_atom_site_fract_z
_atom_site_occupancy
Sn1 Sn 0.0023 0.2500 0.2418 1
I1 I 0.2544 0.2500 0.6031 1
Br1 Br 0.2248 0.7500 0.0776 1

Entry 4:
# Li6CaCd12 (PBE-GGA, optimized geometry)
# V, Å³/cell: 1253.4
# ΔH_f (0 K), eV per atom: -0.104
# M_tot, Bohr magnetons per cell: 0.0
data_Li6CaCd12
_symmetry_space_group_name_H-M 'R -3 m'
_symmetry_Int_Tables_number 166
_symmetry_space_group_name_Hall '-R 3 2"'
_cell_length_a 12.6232
_cell_length_b 12.6232
_cell_length_c 9.0829
_cell_angle_alpha 90.00
_cell_angle_beta 90.00
_cell_angle_gamma 120.00
loop_
_atom_site_label
_atom_site_type_symbol
_atom_site_fract_x
_atom_site_fract_y
_atom_site_fract_z
_atom_site_occupancy
Li1 Li 0.0471 0.5235 0.2454 1
Ca1 Ca 0.0000 0.0000 0.0000 1
Cd1 Cd 0.0000 0.3830 0.5000 1
Cd2 Cd 0.0821 0.1642 0.3121 1